(1)
Density functional theory data (PBE-GGA) for a geometry-optimized KSc4Os structure.

Summary:
- Crystal system: cubic
- Space group: F-43m
- Final energy: -5.346 eV per atom

a b c (Å): 5.8638 5.8638 5.8638
angles (deg): 60.00 60.00 60.00
With the nearest neighbours (Å) after each atom.
Atoms (fractional coordinates):
K: 0.0000 0.0000 0.0000  12 Sc 3.45, 4 Os 3.59
Sc: 0.3795 0.3795 0.3795  6 Sc 2.83-3.04
Sc: 0.3795 0.3795 0.8615  6 Sc 2.83-3.04
Sc: 0.3795 0.8615 0.3795  6 Sc 2.83-3.04
Sc: 0.8615 0.3795 0.3795  6 Sc 2.83-3.04
Os: 0.7500 0.7500 0.7500  12 Sc 3.43, 4 K 3.59


(2)
Density functional theory data (PBE-GGA) for a geometry-optimized Li4SmTh structure.

Summary:
- Crystal system: cubic
- Space group: F-43m
- Final energy: -3.100 eV per atom

a b c (Å): 5.8631 5.8631 5.8631
angles (deg): 60.00 60.00 60.00
With the nearest neighbours (Å) after each atom.
Atoms (fractional coordinates):
Li: 0.1250 0.1250 0.1250  6 Li 2.93
Li: 0.1250 0.1250 0.6250  6 Li 2.93
Li: 0.1250 0.6250 0.1250  6 Li 2.93
Li: 0.6250 0.1250 0.1250  6 Li 2.93
Sm: 0.5000 0.5000 0.5000  12 Li 3.44, 4 Th 3.59
Th: 0.7500 0.7500 0.7500  12 Li 3.44, 4 Sm 3.59


(3)
Density functional theory data (PBE-GGA) for a geometry-optimized HfVN2 structure.

Summary:
- Crystal system: cubic
- Formation energy without anion corrections: -0.68 eV/atom
- Space group: Fm-3m

a b c (Å): 3.8078 3.8078 3.8078
angles (deg): 60.00 60.00 60.00
With the nearest neighbours (Å) after each atom.
Atoms (fractional coordinates):
Hf: 0.0000 0.0000 0.0000  8 N 2.33
V: 0.5000 0.5000 0.5000  8 N 2.33
N: 0.2500 0.2500 0.2500  4 V 2.33, 4 Hf 2.33
N: 0.7500 0.7500 0.7500  4 V 2.33, 4 Hf 2.33


(4)
Density functional theory data (PBE-GGA) for a geometry-optimized HfWBr3 structure.

Summary:
- Crystal system: cubic
- Formation energy without anion corrections: 1.10 eV/atom
- Space group: Pm-3m
- Energy relative to the lowest polymorph listed for this composition: 350 meV/atom

a b c (Å): 5.1193 5.1193 5.1193
angles (deg): 90.00 90.00 90.00
With the nearest neighbours (Å) after each atom.
Atoms (fractional coordinates):
Hf: 0.0000 0.0000 0.0000  12 Br 3.62
W: 0.5000 0.5000 0.5000  6 Br 2.56
Br: 0.0000 0.5000 0.5000  2 W 2.56
Br: 0.5000 0.0000 0.5000  2 W 2.56
Br: 0.5000 0.5000 0.0000  2 W 2.56


(5)
Density functional theory data (PBE-GGA) for a geometry-optimized Y2AlCuH structure.

Summary:
- Crystal system: tetragonal
- Space group: P4/mmm
- Final energy: -5.166 eV per atom

a b c (Å): 4.9197 4.9197 3.7443
angles (deg): 90.00 90.00 90.00
With the nearest neighbours (Å) after each atom.
Atoms (fractional coordinates):
Y: 0.0000 0.5000 0.0000  2 H 2.46
Y: 0.5000 0.0000 0.0000  2 H 2.46
Al: 0.0000 0.0000 0.5000  8 Y 3.09
Cu: 0.5000 0.5000 0.5000  2 H 1.87
H: 0.5000 0.5000 0.0000  2 Cu 1.87


(6)
Density functional theory data (PBE-GGA) for a geometry-optimized KMg2Mn structure.

Summary:
- Crystal system: trigonal
- Space group: R-3m
- Energy relative to the lowest polymorph listed for this composition: 113 meV/atom

a b c (Å): 11.2472 11.2472 11.2472
angles (deg): 16.64 16.64 16.64
With the nearest neighbours (Å) after each atom.
Atoms (fractional coordinates):
K: 0.0000 0.0000 0.0000  6 K 3.25
Mg: 0.2336 0.2336 0.2336  3 Mn 2.91, 6 Mg 3.25
Mg: 0.7664 0.7664 0.7664  3 Mn 2.91, 6 Mg 3.25
Mn: 0.5000 0.5000 0.5000  6 Mg 2.91, 6 Mn 3.25


(7)
Density functional theory data (PBE-GGA) for a geometry-optimized MnIn2PPd structure.

Summary:
- Crystal system: tetragonal
- Space group: P4/mmm
- Final energy: -4.052 eV per atom

a b c (Å): 5.1730 5.1730 4.4762
angles (deg): 90.00 90.00 90.00
With the nearest neighbours (Å) after each atom.
Atoms (fractional coordinates):
Mn: 0.0000 0.0000 0.0000  8 In 3.42, 4 P 3.66
In: 0.0000 0.5000 0.5000  2 Pd 2.59
In: 0.5000 0.0000 0.5000  2 Pd 2.59
P: 0.5000 0.5000 0.0000  2 Pd 2.24
Pd: 0.5000 0.5000 0.5000  2 P 2.24


(8)
Density functional theory data (PBE-GGA) for a geometry-optimized PmPu2PdN4 structure.

Summary:
- Crystal system: orthorhombic
- Formation energy without anion corrections: -0.91 eV/atom
- Space group: Cmcm

a b c (Å): 5.9158 5.9158 11.8976
angles (deg): 90.00 90.00 145.31
With the nearest neighbours (Å) after each atom.
Atoms (fractional coordinates):
Pm: 0.0947 0.9053 0.7500  2 N 2.37
Pm: 0.9053 0.0947 0.2500  2 N 2.37
Pu: 0.3704 0.6296 0.5575  5 N 2.16-2.39
Pu: 0.3704 0.6296 0.9425  5 N 2.16-2.39
Pu: 0.6296 0.3704 0.0575  5 N 2.16-2.39
Pu: 0.6296 0.3704 0.4425  5 N 2.16-2.39
Pd: 0.1789 0.8211 0.2500  4 N 2.10-2.32
Pd: 0.8211 0.1789 0.7500  4 N 2.10-2.32
N: 0.0000 0.0000 0.0000  4 Pu 2.39
N: 0.0000 0.0000 0.5000  4 Pu 2.39
N: 0.2626 0.7374 0.0928  1 Pd 2.10, 1 Pu 2.16
N: 0.2626 0.7374 0.4072  1 Pd 2.10, 1 Pu 2.16
N: 0.4549 0.5451 0.7500  2 Pd 2.32, 2 Pm 2.37, 2 Pu 2.48
N: 0.5451 0.4549 0.2500  2 Pd 2.32, 2 Pm 2.37, 2 Pu 2.48
N: 0.7374 0.2626 0.5928  1 Pd 2.10, 1 Pu 2.16
N: 0.7374 0.2626 0.9072  1 Pd 2.10, 1 Pu 2.16


(9)
Density functional theory data (PBE-GGA) for a geometry-optimized Tc2PRu structure.

Summary:
- Crystal system: tetragonal
- Space group: I4/mmm
- Final energy: -8.799 eV per atom

a b c (Å): 4.7452 4.7452 4.7452
angles (deg): 133.89 133.89 67.26
With the nearest neighbours (Å) after each atom.
Atoms (fractional coordinates):
Tc: 0.2500 0.7500 0.5000  4 Tc 2.63, 4 Ru 2.71, 4 P 2.71
Tc: 0.7500 0.2500 0.5000  4 Tc 2.63, 4 Ru 2.71, 4 P 2.71
P: 0.0000 0.0000 0.0000  4 Ru 2.63, 8 Tc 2.71
Ru: 0.5000 0.5000 0.0000  4 P 2.63, 8 Tc 2.71


(10)
Density functional theory data (PBE-GGA) for a geometry-optimized Sm7Ga2Cu2 structure.

Summary:
- Crystal system: orthorhombic
- Space group: Cmmm
- Final energy: -4.377 eV per atom

a b c (Å): 6.8074 6.8074 7.0795
angles (deg): 90.00 90.00 109.66
With the nearest neighbours (Å) after each atom.
Atoms (fractional coordinates):
Sm: 0.0000 0.0000 0.0000  2 Cu 3.26
Sm: 0.0000 0.5000 0.2683  2 Cu 2.77
Sm: 0.0000 0.5000 0.7317  2 Cu 2.77
Sm: 0.5000 0.0000 0.2683  2 Cu 2.77
Sm: 0.5000 0.0000 0.7317  2 Cu 2.77
Sm: 0.5000 0.5000 0.2564  2 Cu 2.93, 2 Ga 3.16
Sm: 0.5000 0.5000 0.7436  2 Cu 2.93, 2 Ga 3.16
Ga: 0.1627 0.1627 0.5000  1 Ga 2.55
Ga: 0.8373 0.8373 0.5000  1 Ga 2.55
Cu: 0.2933 0.7067 0.0000  6 Sm 2.77-2.93
Cu: 0.7067 0.2933 0.0000  6 Sm 2.77-2.93


(11)
Density functional theory data (PBE-GGA) for a geometry-optimized HfSnTe3 structure.

Summary:
- Crystal system: monoclinic
- Formation energy without anion corrections: -0.47 eV/atom
- Space group: C2/m
- Energy relative to the lowest polymorph listed for this composition: 0 meV/atom

a b c (Å): 9.3772 9.3772 8.0364
angles (deg): 97.73 97.73 26.39
With the nearest neighbours (Å) after each atom.
Atoms (fractional coordinates):
Hf: 0.2065 0.2065 0.2389  7 Te 2.89-3.09
Hf: 0.7935 0.7935 0.7611  7 Te 2.89-3.09
Sn: 0.4526 0.4526 0.3231  3 Te 2.95-3.10, 1 Sn 3.12
Sn: 0.5474 0.5474 0.6769  3 Te 2.95-3.10, 1 Sn 3.12
Te: 0.0473 0.0473 0.2163  1 Hf 2.89, 2 Sn 2.95
Te: 0.1923 0.1923 0.6063  3 Hf 2.99-3.00
Te: 0.3309 0.3309 0.0141  3 Hf 2.97-3.09, 1 Sn 3.10
Te: 0.6691 0.6691 0.9859  3 Hf 2.97-3.09, 1 Sn 3.10
Te: 0.8077 0.8077 0.3937  3 Hf 2.99-3.00
Te: 0.9527 0.9527 0.7837  1 Hf 2.89, 2 Sn 2.95


(12)
Density functional theory data (PBE-GGA) for a geometry-optimized Sm3ZnNi structure.

Summary:
- Crystal system: monoclinic
- Space group: C2/m
- Final energy: -4.466 eV per atom

a b c (Å): 5.9755 5.9755 8.6882
angles (deg): 112.56 112.56 66.64
With the nearest neighbours (Å) after each atom.
Atoms (fractional coordinates):
Sm: 0.0397 0.0397 0.2424  2 Ni 2.78
Sm: 0.2924 0.2924 0.6799  2 Ni 2.91
Sm: 0.3157 0.3157 0.1191  2 Ni 2.81
Sm: 0.6843 0.6843 0.8809  2 Ni 2.81
Sm: 0.7076 0.7076 0.3201  2 Ni 2.91
Sm: 0.9603 0.9603 0.7576  2 Ni 2.78
Zn: 0.3018 0.6982 0.5000  1 Zn 2.60
Zn: 0.6982 0.3018 0.5000  1 Zn 2.60
Ni: 0.3009 0.6991 0.0000  1 Ni 2.61, 6 Sm 2.78-2.91
Ni: 0.6991 0.3009 0.0000  1 Ni 2.61, 6 Sm 2.78-2.91